# 1
## AlOsSeN2 (PBE-GGA)

Data for crystalline AlOsSeN2 at its relaxed geometry.

- Energy relative to the elements, uncorrected: 0.520 eV/atom
- Size of the total moment: 0.0 μB/cell
- Energy above the lowest structure with this stoichiometry: 0 meV/atom
- Crystal system: tetragonal

a b c (Å): 3.809 3.809 5.411
angles (deg): 90.00 90.00 90.00
Space group P4/mmm (No. 123)
Unique sites:
1 Al 0.000 0.000 0.000 [1 per cell]
2 Os 0.500 0.500 0.500 [1 per cell]
3 Se 0.500 0.500 0.000 [1 per cell]
4 N 0.000 0.500 0.500 [2 per cell]

***

# 2
## TmCO4 (PBE-GGA)

Data for crystalline TmCO4 at its relaxed geometry.

- Energy relative to the elements, uncorrected: -2.049 eV/atom
- Size of the total moment: 2.0 μB/cell
- Energy above the lowest structure with this stoichiometry: 26 meV/atom
- Crystal system: monoclinic

a b c (Å): 4.433 6.655 6.291
angles (deg): 90.00 95.27 90.00
Space group P2_1/m (No. 11)
Unique sites:
1 Tm 0.032 0.250 0.161 [2 per cell]
2 C 0.052 0.250 0.705 [2 per cell]
3 O 0.027 0.086 0.817 [4 per cell]
4 O 0.100 0.250 0.511 [2 per cell]
5 O 0.467 0.750 0.864 [2 per cell]

***

# 3
## FeCuRh2 (PBE-GGA)

Data for crystalline FeCuRh2 at its relaxed geometry.

- Formation energy: 0.503 kcal/mol of atoms
- Size of the total moment: 11.9 μB/cell
- Crystal system: trigonal

a b c (Å): 2.7015 2.7015 25.4848
angles (deg): 90.00 90.00 120.00
Space group R-3m (No. 166, hexagonal axes)
Unique sites:
1 Fe 0.0000 0.0000 0.0000 [3 per cell]
2 Cu 0.0000 0.0000 0.5000 [3 per cell]
3 Rh 0.0000 0.0000 0.2516 [6 per cell]

***

# 4
## Sr2Al3Si4 (PBE-GGA)

Data for crystalline Sr2Al3Si4 at its relaxed geometry.

- Energy relative to the elements, uncorrected: -0.213 eV/atom
- Size of the total moment: 0.0 μB/cell
- Crystal system: orthorhombic

a b c (Å): 5.938 15.546 7.903
angles (deg): 90.00 90.00 90.00
Space group Cmce (No. 64)
Unique sites:
1 Sr 0.000 0.111 0.088 [8 per cell]
2 Al 0.000 0.000 0.500 [4 per cell]
3 Al 0.250 0.218 0.750 [8 per cell]
4 Si 0.000 0.188 0.457 [8 per cell]
5 Si 0.250 0.056 0.750 [8 per cell]

***

# 5
## Tb5PrY3 (PBE-GGA)

Data for crystalline Tb5PrY3 at its relaxed geometry.

- Formation energy: 6.868 kcal/mol of atoms
- Size of the total moment: 0.0 μB/cell
- Energy above the lowest structure with this stoichiometry: 0 meV/atom
- Crystal system: monoclinic

a b c (Å): 18.432 6.346 11.351
angles (deg): 90.00 111.99 90.00
Space group C2/c (No. 15)
Unique sites:
1 Tb 0.000 0.104 0.250 [4 per cell]
2 Tb 0.170 0.214 0.710 [8 per cell]
3 Tb 0.170 0.319 0.371 [8 per cell]
4 Pr 0.000 0.366 0.750 [4 per cell]
5 Y 0.000 0.500 0.000 [4 per cell]
6 Y 0.161 0.193 0.015 [8 per cell]

***

# 6
## V2CoHOs (PBE-GGA)

Data for crystalline V2CoHOs at its relaxed geometry.

- Size of the total moment: 0.5 μB/cell
- Energy above the lowest structure with this stoichiometry: 108 meV/atom
- Crystal system: tetragonal

a b c (Å): 3.797 3.797 3.735
angles (deg): 90.00 90.00 90.00
Space group P4/mmm (No. 123)
Unique sites:
1 V 0.000 0.500 0.000 [2 per cell]
2 Co 0.000 0.000 0.500 [1 per cell]
3 H 0.500 0.500 0.000 [1 per cell]
4 Os 0.500 0.500 0.500 [1 per cell]